(1)
The following is a PBE-GGA calculation of a geometry-optimized NbOsI2N structure, from Alexandria.

```
data_NbOsI2N
_chemical_formula_sum 'Nb1 Os1 I2 N1'
_space_group_name_H-M_alt 'P 4/m m m'
_space_group_IT_number 123
_space_group_name_Hall '-P 4 2'
_cell_length_a 5.547
_cell_length_b 5.547
_cell_length_c 3.714
_cell_angle_alpha 90.00
_cell_angle_beta 90.00
_cell_angle_gamma 90.00
loop_
_atom_site_label
_atom_site_type_symbol
_atom_site_fract_x
_atom_site_fract_y
_atom_site_fract_z
_atom_site_occupancy
Nb1 Nb 0.000 0.000 0.000 1
Os1 Os 0.500 0.500 0.500 1
I1 I 0.000 0.500 0.500 1
N1 N 0.500 0.500 0.000 1
```

Computed properties:
Uncorrected energy ... -28.182 eV/cell
ΔE to the lowest computed polymorph ... 0 meV/atom
Crystal system ... tetragonal
Volume ... 22.85 A^3/atom
E_form (uncorrected) ... 909 meV per atom
Fermi-level density of states ... 3.7 states/eV per cell

=====

(2)
The following is a PBE-GGA calculation of a geometry-optimized NbPI2N structure, from Alexandria.

```
data_NbPI2N
_chemical_formula_sum 'Nb1 P1 I2 N1'
_space_group_name_H-M_alt 'P 4/m m m'
_space_group_IT_number 123
_space_group_name_Hall '-P 4 2'
_cell_length_a 5.663
_cell_length_b 5.663
_cell_length_c 3.893
_cell_angle_alpha 90.00
_cell_angle_beta 90.00
_cell_angle_gamma 90.00
loop_
_atom_site_label
_atom_site_type_symbol
_atom_site_fract_x
_atom_site_fract_y
_atom_site_fract_z
_atom_site_occupancy
Nb1 Nb 0.000 0.000 0.000 1
P1 P 0.500 0.500 0.500 1
I1 I 0.000 0.500 0.000 1
N1 N 0.000 0.000 0.500 1
```

Computed properties:
Uncorrected energy ... -23.855 eV/cell
ΔE to the lowest computed polymorph ... 0 meV/atom
Crystal system ... tetragonal
Volume ... 24.97 A^3/atom
E_form (uncorrected) ... 610 meV per atom
Fermi-level density of states ... 4.7 states/eV per cell

=====

(3)
The following is a PBE-GGA calculation of a geometry-optimized NbPI2N structure, from Alexandria.

```
data_NbPI2N
_chemical_formula_sum 'Nb1 P1 I2 N1'
_space_group_name_H-M_alt 'P 4/m m m'
_space_group_IT_number 123
_space_group_name_Hall '-P 4 2'
_cell_length_a 5.666
_cell_length_b 5.666
_cell_length_c 3.387
_cell_angle_alpha 90.00
_cell_angle_beta 90.00
_cell_angle_gamma 90.00
loop_
_atom_site_label
_atom_site_type_symbol
_atom_site_fract_x
_atom_site_fract_y
_atom_site_fract_z
_atom_site_occupancy
Nb1 Nb 0.000 0.000 0.000 1
P1 P 0.500 0.500 0.500 1
I1 I 0.000 0.500 0.500 1
N1 N 0.500 0.500 0.000 1
```

Computed properties:
Uncorrected energy ... -22.408 eV/cell
ΔE to the lowest computed polymorph ... 289 meV/atom
Crystal system ... tetragonal
Volume ... 21.75 A^3/atom
E_form (uncorrected) ... 899 meV per atom
Fermi-level density of states ... 2.9 states/eV per cell

=====

What did the first record say?
The following is a PBE-GGA calculation of a geometry-optimized NbOsI2N structure, from Alexandria.

```
data_NbOsI2N
_chemical_formula_sum 'Nb1 Os1 I2 N1'
_space_group_name_H-M_alt 'P 4/m m m'
_space_group_IT_number 123
_space_group_name_Hall '-P 4 2'
_cell_length_a 5.547
_cell_length_b 5.547
_cell_length_c 3.714
_cell_angle_alpha 90.00
_cell_angle_beta 90.00
_cell_angle_gamma 90.00
loop_
_atom_site_label
_atom_site_type_symbol
_atom_site_fract_x
_atom_site_fract_y
_atom_site_fract_z
_atom_site_occupancy
Nb1 Nb 0.000 0.000 0.000 1
Os1 Os 0.500 0.500 0.500 1
I1 I 0.000 0.500 0.500 1
N1 N 0.500 0.500 0.000 1
```

Computed properties:
Uncorrected energy ... -28.182 eV/cell
ΔE to the lowest computed polymorph ... 0 meV/atom
Crystal system ... tetragonal
Volume ... 22.85 A^3/atom
E_form (uncorrected) ... 909 meV per atom
Fermi-level density of states ... 3.7 states/eV per cell